Entry 1:
# RbScMnGe2, relaxed, DFT PBE-GGA
data_RbScMnGe2
_cell_length_a 5.289
_cell_length_b 5.289
_cell_length_c 5.345
_cell_angle_alpha 90.00
_cell_angle_beta 90.00
_cell_angle_gamma 90.00
_symmetry_space_group_name_H-M 'P 1'
_symmetry_Int_Tables_number 1
loop_
_symmetry_equiv_pos_as_xyz
'x,y,z'
loop_
_atom_site_label
_atom_site_type_symbol
_atom_site_fract_x
_atom_site_fract_y
_atom_site_fract_z
_atom_site_occupancy
Rb1 Rb 0.000 0.000 0.000 1
Sc1 Sc 0.500 0.500 0.500 1
Mn1 Mn 0.500 0.500 0.000 1
Ge1 Ge 0.000 0.500 0.500 1
Ge2 Ge 0.500 0.000 0.500 1
# M_tot: 0.809 μB/atom
# E: -4.64 eV/atom
# Symmetry: No. 123

=====

Entry 2:
# RbScMn2Ge, relaxed, DFT PBE-GGA
data_RbScMn2Ge
_cell_length_a 4.429
_cell_length_b 4.429
_cell_length_c 5.489
_cell_angle_alpha 90.00
_cell_angle_beta 90.00
_cell_angle_gamma 90.00
_symmetry_space_group_name_H-M 'P 1'
_symmetry_Int_Tables_number 1
loop_
_symmetry_equiv_pos_as_xyz
'x,y,z'
loop_
_atom_site_label
_atom_site_type_symbol
_atom_site_fract_x
_atom_site_fract_y
_atom_site_fract_z
_atom_site_occupancy
Rb1 Rb 0.000 0.000 0.000 1
Sc1 Sc 0.500 0.500 0.500 1
Mn1 Mn 0.000 0.500 0.000 1
Mn2 Mn 0.500 0.000 0.000 1
Ge1 Ge 0.000 0.000 0.500 1
# M_tot: 0.055 μB/atom
# E: -3.68 eV/atom
# Symmetry: No. 123

=====

Entry 3:
# RbMnGe2Se6, relaxed, DFT PBE-GGA
data_RbMnGe2Se6
_cell_length_a 9.862
_cell_length_b 9.862
_cell_length_c 6.587
_cell_angle_alpha 102.51
_cell_angle_beta 102.51
_cell_angle_gamma 91.30
_symmetry_space_group_name_H-M 'P 1'
_symmetry_Int_Tables_number 1
loop_
_symmetry_equiv_pos_as_xyz
'x,y,z'
loop_
_atom_site_label
_atom_site_type_symbol
_atom_site_fract_x
_atom_site_fract_y
_atom_site_fract_z
_atom_site_occupancy
Rb1 Rb 0.115 0.885 0.750 1
Rb2 Rb 0.885 0.115 0.250 1
Mn1 Mn 0.263 0.737 0.250 1
Mn2 Mn 0.737 0.263 0.750 1
Ge1 Ge 0.205 0.358 0.797 1
Ge2 Ge 0.358 0.205 0.297 1
Ge3 Ge 0.642 0.795 0.703 1
Ge4 Ge 0.795 0.642 0.203 1
Se1 Se 0.006 0.756 0.172 1
Se2 Se 0.190 0.363 0.420 1
Se3 Se 0.244 0.994 0.328 1
Se4 Se 0.317 0.586 0.950 1
Se5 Se 0.363 0.190 0.920 1
Se6 Se 0.414 0.683 0.550 1
Se7 Se 0.586 0.317 0.450 1
Se8 Se 0.637 0.810 0.080 1
Se9 Se 0.683 0.414 0.050 1
Se10 Se 0.756 0.006 0.672 1
Se11 Se 0.810 0.637 0.580 1
Se12 Se 0.994 0.244 0.828 1
# M_tot: 0.399 μB/atom
# E: -4.38 eV/atom
# Symmetry: No. 15

=====

Entry 4:
# RbMnGeSe4, relaxed, DFT PBE-GGA
data_RbMnGeSe4
_cell_length_a 6.631
_cell_length_b 7.078
_cell_length_c 8.739
_cell_angle_alpha 90.00
_cell_angle_beta 93.17
_cell_angle_gamma 90.00
_symmetry_space_group_name_H-M 'P 1'
_symmetry_Int_Tables_number 1
loop_
_symmetry_equiv_pos_as_xyz
'x,y,z'
loop_
_atom_site_label
_atom_site_type_symbol
_atom_site_fract_x
_atom_site_fract_y
_atom_site_fract_z
_atom_site_occupancy
Rb1 Rb 0.231 0.250 0.064 1
Rb2 Rb 0.769 0.750 0.936 1
Mn1 Mn 0.170 0.750 0.452 1
Mn2 Mn 0.830 0.250 0.548 1
Ge1 Ge 0.345 0.250 0.646 1
Ge2 Ge 0.655 0.750 0.354 1
Se1 Se 0.097 0.006 0.681 1
Se2 Se 0.097 0.494 0.681 1
Se3 Se 0.353 0.750 0.195 1
Se4 Se 0.488 0.250 0.408 1
Se5 Se 0.512 0.750 0.592 1
Se6 Se 0.647 0.250 0.805 1
Se7 Se 0.903 0.506 0.319 1
Se8 Se 0.903 0.994 0.319 1
# M_tot: 0.572 μB/atom
# E: -4.61 eV/atom
# Symmetry: No. 11

=====

Entry 5:
# Rb2MnGeSe, relaxed, DFT PBE-GGA
data_Rb2MnGeSe
_cell_length_a 6.550
_cell_length_b 6.550
_cell_length_c 5.132
_cell_angle_alpha 90.00
_cell_angle_beta 90.00
_cell_angle_gamma 90.00
_symmetry_space_group_name_H-M 'P 1'
_symmetry_Int_Tables_number 1
loop_
_symmetry_equiv_pos_as_xyz
'x,y,z'
loop_
_atom_site_label
_atom_site_type_symbol
_atom_site_fract_x
_atom_site_fract_y
_atom_site_fract_z
_atom_site_occupancy
Rb1 Rb 0.000 0.500 0.000 1
Rb2 Rb 0.500 0.000 0.000 1
Mn1 Mn 0.000 0.000 0.500 1
Ge1 Ge 0.500 0.500 0.500 1
Se1 Se 0.500 0.500 0.000 1
# M_tot: 0.842 μB/atom
# E: -3.44 eV/atom
# Symmetry: No. 123

=====

Entry 6:
# Rb2MnGeTe4, relaxed, DFT PBE-GGA
data_Rb2MnGeTe4
_cell_length_a 14.314
_cell_length_b 12.913
_cell_length_c 8.019
_cell_angle_alpha 82.74
_cell_angle_beta 63.50
_cell_angle_gamma 33.76
_symmetry_space_group_name_H-M 'P 1'
_symmetry_Int_Tables_number 1
loop_
_symmetry_equiv_pos_as_xyz
'x,y,z'
loop_
_atom_site_label
_atom_site_type_symbol
_atom_site_fract_x
_atom_site_fract_y
_atom_site_fract_z
_atom_site_occupancy
Rb1 Rb 0.057 0.057 0.693 1
Rb2 Rb 0.307 0.307 0.943 1
Rb3 Rb 0.693 0.693 0.057 1
Rb4 Rb 0.943 0.943 0.307 1
Mn1 Mn 0.125 0.125 0.125 1
Mn2 Mn 0.875 0.875 0.875 1
Ge1 Ge 0.375 0.375 0.375 1
Ge2 Ge 0.625 0.625 0.625 1
Te1 Te 0.041 0.321 0.402 1
Te2 Te 0.264 0.598 0.679 1
Te3 Te 0.321 0.041 0.736 1
Te4 Te 0.402 0.736 0.041 1
Te5 Te 0.598 0.264 0.959 1
Te6 Te 0.679 0.959 0.264 1
Te7 Te 0.736 0.402 0.321 1
Te8 Te 0.959 0.679 0.598 1
# M_tot: 0.372 μB/atom
# E: -4.02 eV/atom
# Symmetry: No. 70